Entry 1:
Sr2Al3ZnPt4 after structural relaxation, computed with GGA-PBE.

Values from the calculation:
crystal system: tetragonal
formation energy: -0.942 eV per atom
total magnetic moment: 0.000 μB/cell
V: 200.7 Å³ per cell

Cell: 4.4383 4.4383 10.1900 Å, 90.00 90.00 90.00°
Last column: nearest neighbours and their distance in Å.
Positions (direct):
Sr 0.0000 0.5000 0.2475  8 Pt 3.36-3.37, 7 Al 3.40-3.75, 2 Zn 3.40
Sr 0.5000 0.0000 0.7525  8 Pt 3.36-3.37, 7 Al 3.40-3.75, 2 Zn 3.40
Al 0.0000 0.5000 0.8797  5 Pt 2.52-2.54
Al 0.5000 0.0000 0.1203  5 Pt 2.52-2.54
Al 0.5000 0.5000 0.5000  4 Pt 2.60
Zn 0.0000 0.0000 0.5000  4 Pt 2.60
Pt 0.0000 0.0000 0.0000  4 Al 2.54
Pt 0.0000 0.5000 0.6321  3 Al 2.52-2.60, 2 Zn 2.60
Pt 0.5000 0.0000 0.3679  3 Al 2.52-2.60, 2 Zn 2.60
Pt 0.5000 0.5000 0.0000  4 Al 2.54



Entry 2:
Ba2MgBi2 after structural relaxation, computed with GGA-PBE.

Values from the calculation:
crystal system: tetragonal
formation energy: -0.623 eV per atom
total magnetic moment: 0.000 μB/cell
V: 389.4 Å³ per cell

Cell: 8.6069 8.6069 5.2572 Å, 90.00 90.00 90.00°
Last column: nearest neighbours and their distance in Å.
Positions (direct):
Ba 0.1735 0.3265 0.0000  6 Bi 3.55-3.73
Ba 0.3265 0.8265 0.0000  6 Bi 3.55-3.73
Ba 0.6735 0.1735 0.0000  6 Bi 3.55-3.73
Ba 0.8265 0.6735 0.0000  6 Bi 3.55-3.73
Mg 0.0000 0.0000 0.5000  4 Bi 3.37
Mg 0.5000 0.5000 0.5000  4 Bi 3.37
Bi 0.1303 0.6303 0.5000  1 Bi 3.17, 2 Mg 3.37
Bi 0.3697 0.1303 0.5000  1 Bi 3.17, 2 Mg 3.37
Bi 0.6303 0.8697 0.5000  1 Bi 3.17, 2 Mg 3.37
Bi 0.8697 0.3697 0.5000  1 Bi 3.17, 2 Mg 3.37



Entry 3:
Ce2Sc2S7 after structural relaxation, computed with GGA-PBE.

Values from the calculation:
crystal system: orthorhombic
total magnetic moment: 0.317 μB/cell
total DFT energy (no corrections): -72.7 eV per cell
V: 222.0 Å³ per cell

Cell: 8.2003 8.2003 8.2003 Å, 152.57 69.13 117.95°
Last column: nearest neighbours and their distance in Å.
Positions (direct):
Ce 0.2380 0.0000 0.2380  7 S 2.69-2.95
Ce 0.7620 0.0000 0.7620  7 S 2.69-2.95
Sc 0.2918 0.7918 0.5000  4 S 2.55-2.66
Sc 0.7519 0.7519 0.0000  7 S 2.67-2.76
S 0.0202 0.7001 0.3201  1 Sc 2.55, 3 Ce 2.69-2.77
S 0.0778 0.0778 0.0000  3 Sc 2.66-2.76
S 0.3750 0.4816 0.8934  3 Sc 2.70-2.90, 2 Ce 2.86, 1 S 2.88
S 0.3800 0.7001 0.6799  1 Sc 2.55, 3 Ce 2.69-2.77
S 0.5883 0.4816 0.1066  3 Sc 2.70-2.90, 2 Ce 2.86, 1 S 2.88
S 0.6688 0.3003 0.3685  2 Sc 2.67, 2 Ce 2.95
S 0.9318 0.3003 0.6315  2 Sc 2.67, 2 Ce 2.95